Density functional theory data (GGA-PBE) for a relaxed Pr6Sn3O2 crystal.

Cell: 13.556 13.556 13.556 Å, 159.32 159.32 29.41°
Fractional positions:
Pr 0.082 0.582 0.500
Pr 0.195 0.195 0.000
Pr 0.418 0.918 0.500
Pr 0.582 0.082 0.500
Pr 0.805 0.805 0.000
Pr 0.918 0.418 0.500
Sn 0.322 0.322 0.000
Sn 0.500 0.500 0.000
Sn 0.678 0.678 0.000
O 0.101 0.101 0.000
O 0.899 0.899 0.000

Values from the calculation:
Formation energy from raw total energies ... -140.5 kJ per mole of atoms
Total energy ... -66.62 eV/cell
Magnetic moment ... 0.000 μB per formula unit